Crystalline VCuGeO6 at its relaxed geometry, computed with PBE with a Hubbard U.

As for the volume: 10.15 A^3/atom. The value obtained for the total energy is -6.29 eV/atom.

abc: 4.9468 4.9468 8.6215
angles: 90.00 90.00 120.00
With the nearest neighbours (Å) after each atom.
Space group P-31c (No. 163)
Asymmetric unit:
V1 0.3333 0.6667 0.2500 [2 per cell]  6 O 1.90
Cu1 0.0000 0.0000 0.0000 [2 per cell]  6 O 2.08
Ge1 0.3333 0.6667 0.7500 [2 per cell]  6 O 1.91
O1 0.0014 0.3532 0.1313 [12 per cell]  1 V 1.90, 1 Ge 1.91, 1 Cu 2.08